Compound: PrGdAl2Cu4
Source: OQMD
Functional: GGA-PBE
Structure: relaxed

```
8
Lattice="4.306 0.000 0.000 -2.153 3.729 0.000 0.000 0.000 9.146" Properties=species:S:1:pos:R:3 pbc="T T T"
Pr 0.000 0.000 0.000
Gd 2.153 1.243 4.573
Al 0.000 2.486 2.363
Al 0.000 2.486 6.783
Cu 0.000 0.000 2.960
Cu 0.000 0.000 6.186
Cu 2.153 1.243 1.771
Cu 2.153 1.243 7.375
```

Calculated values
The space group is No. 187. Its energy is -4.305 eV per atom. Its size of the total moment is 0.01 μB per cell.